The following is a PBE with a Hubbard U calculation of a geometry-optimized AlMoP2O9 structure, from the Alexandria database.

Structure (CIF):
```
data_AlMoP2O9
_chemical_formula_sum 'Al4 Mo4 P8 O36'
_symmetry_space_group_name_H-M 'P 4/n c c'
_symmetry_Int_Tables_number 130
_cell_length_a 9.002
_cell_length_b 9.002
_cell_length_c 8.895
_cell_angle_alpha 90.00
_cell_angle_beta 90.00
_cell_angle_gamma 90.00
loop_
_symmetry_equiv_pos_as_xyz
'x,y,z'
'-x,-y,-z'
'-y+1/2,x,z'
'y+1/2,-x,-z'
'-x+1/2,-y+1/2,z'
'x+1/2,y+1/2,-z'
'y,-x+1/2,z'
'-y,x+1/2,-z'
'x+1/2,-y,-z+1/2'
'-x+1/2,y,z+1/2'
'-y,-x,-z+1/2'
'y,x,z+1/2'
'-x,y+1/2,-z+1/2'
'x,-y+1/2,z+1/2'
'y+1/2,x+1/2,-z+1/2'
'-y+1/2,-x+1/2,z+1/2'
loop_
_atom_site_label
_atom_site_fract_x
_atom_site_fract_y
_atom_site_fract_z
_atom_site_occupancy
Al1 0.250 0.750 0.000 1
Mo1 0.250 0.250 0.186 1
P1 0.068 0.568 0.250 1
O1 0.089 0.102 0.737 1
O2 0.127 0.646 0.109 1
O3 0.250 0.250 0.494 1
```

density of states at the Fermi level = 0.000 states/eV/atom
VASP energy = -383.44 eV for the cell shown